Entry from Alexandria: an optimized crystal structure of Li2Mg2MnFeP4O16 (GGA+U).

**VASP energy**: -180.24 eV per formula unit

Unit cell a=4.8337 b=5.9701 c=10.1057 alpha=90.14 beta=90.70 gamma=90.28
Site moments in Bohr magnetons follow the coordinates.
Atoms (fractional coordinates):
P: 0.4178 0.2521 0.9033  0.01
P: 0.5703 0.7496 0.0966  0.01
P: 0.9242 0.7508 0.5977  0.01
P: 0.0882 0.2476 0.3997  0.01
O: 0.1557 0.2519 0.5497  0.07
O: 0.7321 0.2639 0.8855  0.07
O: 0.7766 0.9588 0.6686  0.08
O: 0.2384 0.7633 0.6105  0.00
O: 0.6707 0.7502 0.9537  0.00
O: 0.7268 0.5454 0.1662  -0.01
O: 0.2578 0.7368 0.1097  0.00
O: 0.8184 0.7509 0.4547  0.01
O: 0.7669 0.2387 0.3809  -0.04
O: 0.7060 0.9478 0.1777  -0.02
O: 0.2203 0.4456 0.3249  0.03
O: 0.2767 0.0559 0.8256  0.07
O: 0.7966 0.5507 0.6787  0.08
O: 0.3410 0.2484 0.0521  -0.02
O: 0.2608 0.4578 0.8394  0.06
O: 0.2328 0.0367 0.3400  0.03
Li: 0.0015 0.5407 0.9942  0.00
Li: 0.4917 0.9591 0.4932  0.00
Mg: 0.4772 0.7518 0.7767  0.00
Mg: 0.0262 0.7461 0.2806  0.00
Mn: 0.5526 0.2487 0.2173  3.92
Fe: 0.9727 0.2504 0.7228  4.37